No. 1
First-principles (PBE-GGA) data for crystalline V3ZnB at its relaxed geometry, as listed in Alexandria.

Computed properties:
ΔH_f (0 K): 0.03 eV/f.u.

Cell: 4.0331 4.0331 4.0331 Å, 90.00 90.00 90.00°
Last column: nearest neighbours and their distance in Å.
Space group Pm-3m (No. 221)
Inequivalent atoms, fractional coordinates:
V 0.0000 0.0000 0.5000 [3 per cell]  2 B 2.02
Zn 0.5000 0.5000 0.5000 [1 per cell]  12 V 2.85
B 0.0000 0.0000 0.0000 [1 per cell]  6 V 2.02

No. 2
First-principles (PBE-GGA) data for crystalline NaInO3 at its relaxed geometry, as listed in Alexandria.

Computed properties:
Raw formation energy: 0.16 eV/atom

Cell: 3.9626 3.9626 3.9626 Å, 90.00 90.00 90.00°
Last column: nearest neighbours and their distance in Å.
Space group Pm-3m (No. 221)
Inequivalent atoms, fractional coordinates:
Na 0.0000 0.0000 0.0000 [1 per cell]  6 O 1.98
In 0.5000 0.5000 0.5000 [1 per cell]  12 O 2.80
O 0.0000 0.0000 0.5000 [3 per cell]  2 Na 1.98

No. 3
First-principles (PBE-GGA) data for crystalline HoCoGe3Ir at its relaxed geometry, as listed in Alexandria.

Computed properties:
ΔH_f (0 K): -1.74 eV/f.u.

Cell: 6.3477 13.2285 5.6923 Å, 90.00 90.00 90.00°
Last column: nearest neighbours and their distance in Å.
Space group Cmcm (No. 63)
Inequivalent atoms, fractional coordinates:
Ho 0.0000 0.1776 0.2500 [4 per cell]  2 Ge 2.88, 1 Co 2.93
Co 0.0000 0.0441 0.7500 [4 per cell]  5 Ge 2.21-2.35
Ge 0.0000 0.2115 0.7500 [4 per cell]  1 Co 2.21, 1 Ir 2.31
Ge 0.2194 0.5000 0.0000 [8 per cell]  2 Co 2.35, 2 Ir 2.50
Ir 0.0000 0.3862 0.7500 [4 per cell]  5 Ge 2.31-2.50

| no. | DFT total energy (eV per atom) |
| --- | --- |
| 1 | -7.056 |
| 2 | -3.629 |
| 3 | -6.023 |